Entry from the Alexandria database: an optimized crystal structure of BaSnOF2 (PBE).

Summary:
formation energy (no corrections) = -2.27 eV/atom
total energy = -26.0 eV for the cell shown
relative energy among the computed polymorphs = 0 kJ/mol of formula units

Geometry as CIF:
```
data_BaSnOF2
_chemical_formula_sum 'Ba1 Sn1 O1 F2'
_symmetry_space_group_name_H-M 'P 1'
_symmetry_Int_Tables_number 1
_cell_length_a 4.667
_cell_length_b 4.667
_cell_length_c 4.590
_cell_angle_alpha 90.00
_cell_angle_beta 90.00
_cell_angle_gamma 90.00
loop_
_symmetry_equiv_pos_as_xyz
'x,y,z'
loop_
_atom_site_label
_atom_site_fract_x
_atom_site_fract_y
_atom_site_fract_z
Ba1 0.000 0.000 0.000
Sn1 0.500 0.500 0.500
O1 0.500 0.500 0.000
F1 0.000 0.500 0.500
F2 0.500 0.000 0.500
```